[1]
This record from Alexandria via LeMat-Bulk describes a relaxed structure of PuCdIrRu. The functional is GGA-PBE.

Cell: 4.6815 4.6815 4.6815 Å, 60.00 60.00 60.00°
Positions (direct):
Pu (0.0000, 0.0000, 0.0000)
Cd (0.5000, 0.5000, 0.5000)
Ir (0.2500, 0.2500, 0.2500)
Ru (0.7500, 0.7500, 0.7500)

***

[2]
This record from Alexandria via LeMat-Bulk describes a relaxed structure of YPuCdIr. The functional is GGA-PBE.

Cell: 5.0582 5.0582 5.0582 Å, 60.00 60.00 60.00°
Positions (direct):
Y (0.0000, 0.0000, 0.0000)
Pu (0.5000, 0.5000, 0.5000)
Cd (0.7500, 0.7500, 0.7500)
Ir (0.2500, 0.2500, 0.2500)

***

[3]
This record from Alexandria via LeMat-Bulk describes a relaxed structure of PuZnCdIr. The functional is GGA-PBE.

Cell: 4.8067 4.8067 4.8067 Å, 60.00 60.00 60.00°
Positions (direct):
Pu (0.0000, 0.0000, 0.0000)
Zn (0.2500, 0.2500, 0.2500)
Cd (0.5000, 0.5000, 0.5000)
Ir (0.7500, 0.7500, 0.7500)

***

| no. | theoretical density (Mg/m³) | DFT formation energy (meV/atom) |
| --- | --- | --- |
| 1 | 14.9 | -113.6 |
| 2 | 11.6 | -303.6 |
| 3 | 13.0 | -84.6 |